#w
Here is crystalline Sc3FeHg at its relaxed geometry from the Alexandria database. Energies are from GGA-PBE.

The structure in CIF format:
```
data_Sc3FeHg
_space_group_name_H-M_alt 'P 1'
_space_group_IT_number 1
_cell_length_a 5.2024
_cell_length_b 5.2024
_cell_length_c 5.2024
_cell_angle_alpha 90.00
_cell_angle_beta 90.00
_cell_angle_gamma 90.00
loop_
_space_group_symop_operation_xyz
'x,y,z'
loop_
_atom_site_label
_atom_site_fract_x
_atom_site_fract_y
_atom_site_fract_z
_atom_site_occupancy
Sc1 0.0000 0.0000 0.5000 1
Sc2 0.0000 0.5000 0.0000 1
Sc3 0.5000 0.0000 0.0000 1
Fe1 0.5000 0.5000 0.5000 1
Hg1 0.0000 0.0000 0.0000 1
```

Summary:
Space-group type: Pm-3m (221)
Density of states at the Fermi level: 3.20 states/eV/atom

=====

#x
Here is crystalline Sc3FeHg at its relaxed geometry from the Alexandria database. Energies are from GGA-PBE.

The structure in CIF format:
```
data_Sc3FeHg
_space_group_name_H-M_alt 'P 1'
_space_group_IT_number 1
_cell_length_a 4.8138
_cell_length_b 4.8138
_cell_length_c 4.8138
_cell_angle_alpha 90.00
_cell_angle_beta 90.00
_cell_angle_gamma 90.00
loop_
_space_group_symop_operation_xyz
'x,y,z'
loop_
_atom_site_label
_atom_site_fract_x
_atom_site_fract_y
_atom_site_fract_z
_atom_site_occupancy
Sc1 0.0000 0.0000 0.5000 1
Sc2 0.0000 0.5000 0.0000 1
Sc3 0.5000 0.0000 0.0000 1
Fe1 0.0000 0.0000 0.0000 1
Hg1 0.5000 0.5000 0.5000 1
```

Summary:
Space-group type: Pm-3m (221)
Density of states at the Fermi level: 0.72 states/eV/atom

=====

Which is most stable? The ranking, best first, is #x, #w.

=====

#w
Here is crystalline Fe2HgSe2 at its relaxed geometry from the Alexandria database. Energies are from GGA-PBE.

The structure in CIF format:
```
data_Fe2HgSe2
_space_group_name_H-M_alt 'P 1'
_space_group_IT_number 1
_cell_length_a 7.3379
_cell_length_b 7.3379
_cell_length_c 3.0321
_cell_angle_alpha 90.00
_cell_angle_beta 90.00
_cell_angle_gamma 90.00
loop_
_space_group_symop_operation_xyz
'x,y,z'
loop_
_atom_site_label
_atom_site_fract_x
_atom_site_fract_y
_atom_site_fract_z
_atom_site_occupancy
Fe1 0.1252 0.3748 0.0000 1
Fe2 0.3748 0.8748 0.0000 1
Fe3 0.6252 0.1252 0.0000 1
Fe4 0.8748 0.6252 0.0000 1
Hg1 0.0000 0.0000 0.0000 1
Hg2 0.5000 0.5000 0.0000 1
Se1 0.1394 0.6394 0.5000 1
Se2 0.3606 0.1394 0.5000 1
Se3 0.6394 0.8606 0.5000 1
Se4 0.8606 0.3606 0.5000 1
```

Summary:
Space-group type: P4/mbm (127)
Density of states at the Fermi level: 1.59 states/eV/atom

=====

#x
Here is crystalline Fe2HgSe2 at its relaxed geometry from the Alexandria database. Energies are from GGA-PBE.

The structure in CIF format:
```
data_Fe2HgSe2
_space_group_name_H-M_alt 'P 1'
_space_group_IT_number 1
_cell_length_a 5.2824
_cell_length_b 5.2824
_cell_length_c 5.2824
_cell_angle_alpha 124.89
_cell_angle_beta 124.89
_cell_angle_gamma 81.71
loop_
_space_group_symop_operation_xyz
'x,y,z'
loop_
_atom_site_label
_atom_site_fract_x
_atom_site_fract_y
_atom_site_fract_z
_atom_site_occupancy
Fe1 0.1453 0.1453 0.0000 1
Fe2 0.8547 0.8547 0.0000 1
Hg1 0.5000 0.5000 0.0000 1
Se1 0.2500 0.7500 0.5000 1
Se2 0.7500 0.2500 0.5000 1
```

Summary:
Space-group type: I4/mmm (139)
Density of states at the Fermi level: 0.60 states/eV/atom

=====

Which is most stable? The ranking, best first, is #x, #w.

=====

#w
Here is crystalline FeHgSe at its relaxed geometry from the Alexandria database. Energies are from GGA-PBE.

The structure in CIF format:
```
data_FeHgSe
_space_group_name_H-M_alt 'P 1'
_space_group_IT_number 1
_cell_length_a 4.4487
_cell_length_b 4.4487
_cell_length_c 4.4487
_cell_angle_alpha 60.00
_cell_angle_beta 60.00
_cell_angle_gamma 60.00
loop_
_space_group_symop_operation_xyz
'x,y,z'
loop_
_atom_site_label
_atom_site_fract_x
_atom_site_fract_y
_atom_site_fract_z
_atom_site_occupancy
Fe1 0.0000 0.0000 0.0000 1
Hg1 0.2500 0.2500 0.2500 1
Se1 0.7500 0.7500 0.7500 1
```

Summary:
Space-group type: F-43m (216)
Density of states at the Fermi level: 1.79 states/eV/atom

=====

#x
Here is crystalline FeHgSe at its relaxed geometry from the Alexandria database. Energies are from GGA-PBE.

The structure in CIF format:
```
data_FeHgSe
_space_group_name_H-M_alt 'P 1'
_space_group_IT_number 1
_cell_length_a 6.8200
_cell_length_b 6.8200
_cell_length_c 6.8200
_cell_angle_alpha 154.98
_cell_angle_beta 154.98
_cell_angle_gamma 35.67
loop_
_space_group_symop_operation_xyz
'x,y,z'
loop_
_atom_site_label
_atom_site_fract_x
_atom_site_fract_y
_atom_site_fract_z
_atom_site_occupancy
Fe1 0.0000 0.0000 0.0000 1
Hg1 0.3401 0.3401 0.0000 1
Se1 0.5908 0.5908 0.0000 1
```

Summary:
Space-group type: I4mm (107)
Density of states at the Fermi level: 0.60 states/eV/atom

=====

#y
Here is crystalline FeHgSe at its relaxed geometry from the Alexandria database. Energies are from GGA-PBE.

The structure in CIF format:
```
data_FeHgSe
_space_group_name_H-M_alt 'P 1'
_space_group_IT_number 1
_cell_length_a 3.6752
_cell_length_b 3.6752
_cell_length_c 10.9836
_cell_angle_alpha 90.00
_cell_angle_beta 90.00
_cell_angle_gamma 90.00
loop_
_space_group_symop_operation_xyz
'x,y,z'
loop_
_atom_site_label
_atom_site_fract_x
_atom_site_fract_y
_atom_site_fract_z
_atom_site_occupancy
Fe1 0.2500 0.7500 0.0000 1
Fe2 0.7500 0.2500 0.0000 1
Hg1 0.2500 0.2500 0.3952 1
Hg2 0.7500 0.7500 0.6048 1
Se1 0.2500 0.2500 0.8733 1
Se2 0.7500 0.7500 0.1267 1
```

Summary:
Space-group type: P4/nmm (129)
Density of states at the Fermi level: 0.52 states/eV/atom

=====

Which is most stable? The ranking, best first, is #y, #x, #w.

=====

#w
Here is crystalline Fe3SiHg at its relaxed geometry from the Alexandria database. Energies are from GGA-PBE.

The structure in CIF format:
```
data_Fe3SiHg
_space_group_name_H-M_alt 'P 1'
_space_group_IT_number 1
_cell_length_a 4.2904
_cell_length_b 4.2904
_cell_length_c 4.2904
_cell_angle_alpha 90.00
_cell_angle_beta 90.00
_cell_angle_gamma 90.00
loop_
_space_group_symop_operation_xyz
'x,y,z'
loop_
_atom_site_label
_atom_site_fract_x
_atom_site_fract_y
_atom_site_fract_z
_atom_site_occupancy
Fe1 0.0000 0.0000 0.5000 1
Fe2 0.0000 0.5000 0.0000 1
Fe3 0.5000 0.0000 0.0000 1
Si1 0.0000 0.0000 0.0000 1
Hg1 0.5000 0.5000 0.5000 1
```

Summary:
Space-group type: Pm-3m (221)
Density of states at the Fermi level: 0.97 states/eV/atom

=====

#x
Here is crystalline Fe3SiHg at its relaxed geometry from the Alexandria database. Energies are from GGA-PBE.

The structure in CIF format:
```
data_Fe3SiHg
_space_group_name_H-M_alt 'P 1'
_space_group_IT_number 1
_cell_length_a 4.8081
_cell_length_b 4.8081
_cell_length_c 4.8081
_cell_angle_alpha 90.00
_cell_angle_beta 90.00
_cell_angle_gamma 90.00
loop_
_space_group_symop_operation_xyz
'x,y,z'
loop_
_atom_site_label
_atom_site_fract_x
_atom_site_fract_y
_atom_site_fract_z
_atom_site_occupancy
Fe1 0.0000 0.0000 0.5000 1
Fe2 0.0000 0.5000 0.0000 1
Fe3 0.5000 0.0000 0.0000 1
Si1 0.5000 0.5000 0.5000 1
Hg1 0.0000 0.0000 0.0000 1
```

Summary:
Space-group type: Pm-3m (221)
Density of states at the Fermi level: 2.11 states/eV/atom

=====

Which is most stable? The ranking, best first, is #w, #x.

=====

#w
Here is crystalline Sm3FeHg at its relaxed geometry from the Alexandria database. Energies are from GGA-PBE.

The structure in CIF format:
```
data_Sm3FeHg
_space_group_name_H-M_alt 'P 1'
_space_group_IT_number 1
_cell_length_a 5.1992
_cell_length_b 5.1992
_cell_length_c 5.1992
_cell_angle_alpha 90.00
_cell_angle_beta 90.00
_cell_angle_gamma 90.00
loop_
_space_group_symop_operation_xyz
'x,y,z'
loop_
_atom_site_label
_atom_site_fract_x
_atom_site_fract_y
_atom_site_fract_z
_atom_site_occupancy
Sm1 0.0000 0.0000 0.5000 1
Sm2 0.0000 0.5000 0.0000 1
Sm3 0.5000 0.0000 0.0000 1
Fe1 0.0000 0.0000 0.0000 1
Hg1 0.5000 0.5000 0.5000 1
```

Summary:
Space-group type: Pm-3m (221)
Density of states at the Fermi level: 1.37 states/eV/atom

=====

#x
Here is crystalline Sm3FeHg at its relaxed geometry from the Alexandria database. Energies are from GGA-PBE.

The structure in CIF format:
```
data_Sm3FeHg
_space_group_name_H-M_alt 'P 1'
_space_group_IT_number 1
_cell_length_a 8.6912
_cell_length_b 3.7770
_cell_length_c 8.7895
_cell_angle_alpha 90.00
_cell_angle_beta 110.35
_cell_angle_gamma 90.00
loop_
_space_group_symop_operation_xyz
'x,y,z'
loop_
_atom_site_label
_atom_site_fract_x
_atom_site_fract_y
_atom_site_fract_z
_atom_site_occupancy
Sm1 0.0551 0.2500 0.2278 1
Sm2 0.3173 0.2500 0.9247 1
Sm3 0.3267 0.7500 0.5826 1
Sm4 0.6733 0.2500 0.4174 1
Sm5 0.6827 0.7500 0.0753 1
Sm6 0.9449 0.7500 0.7722 1
Fe1 0.0577 0.2500 0.5745 1
Fe2 0.9423 0.7500 0.4255 1
Hg1 0.3594 0.7500 0.2246 1
Hg2 0.6406 0.2500 0.7754 1
```

Summary:
Space-group type: P2_1/m (11)
Density of states at the Fermi level: 1.12 states/eV/atom

=====

Which is most stable? The ranking, best first, is #x, #w.

=====

#w
Here is crystalline Fe2SnHg at its relaxed geometry from the Alexandria database. Energies are from GGA-PBE.

The structure in CIF format:
```
data_Fe2SnHg
_space_group_name_H-M_alt 'P 1'
_space_group_IT_number 1
_cell_length_a 5.8198
_cell_length_b 5.8198
_cell_length_c 5.8198
_cell_angle_alpha 103.95
_cell_angle_beta 103.95
_cell_angle_gamma 121.18
loop_
_space_group_symop_operation_xyz
'x,y,z'
loop_
_atom_site_label
_atom_site_fract_x
_atom_site_fract_y
_atom_site_fract_z
_atom_site_occupancy
Fe1 0.1209 0.1250 0.4959 1
Fe2 0.3750 0.8791 0.0041 1
Fe3 0.6291 0.6250 0.5041 1
Fe4 0.8750 0.3709 0.9959 1
Sn1 0.0000 0.0000 0.0000 1
Sn2 0.7500 0.2500 0.5000 1
Hg1 0.2500 0.7500 0.5000 1
Hg2 0.5000 0.5000 0.0000 1
```

Summary:
Space-group type: I-42d (122)
Density of states at the Fermi level: 1.12 states/eV/atom

=====

#x
Here is crystalline Fe2SnHg at its relaxed geometry from the Alexandria database. Energies are from GGA-PBE.

The structure in CIF format:
```
data_Fe2SnHg
_space_group_name_H-M_alt 'P 1'
_space_group_IT_number 1
_cell_length_a 4.5286
_cell_length_b 4.5286
_cell_length_c 4.5286
_cell_angle_alpha 60.00
_cell_angle_beta 60.00
_cell_angle_gamma 60.00
loop_
_space_group_symop_operation_xyz
'x,y,z'
loop_
_atom_site_label
_atom_site_fract_x
_atom_site_fract_y
_atom_site_fract_z
_atom_site_occupancy
Fe1 0.2500 0.2500 0.2500 1
Fe2 0.7500 0.7500 0.7500 1
Sn1 0.0000 0.0000 0.0000 1
Hg1 0.5000 0.5000 0.5000 1
```

Summary:
Space-group type: Fm-3m (225)
Density of states at the Fermi level: 0.92 states/eV/atom

=====

Which is most stable? The ranking, best first, is #x, #w.